[1]
The following is a PBE-GGA calculation of a geometry-optimized SmDy6Y12 structure, from Alexandria.

abc: 8.558 8.558 8.558
angles: 88.06 88.06 88.06
Fractional positions:
Sm (0.000, 0.000, 0.000)
Dy (0.092, 0.256, 0.691)
Dy (0.256, 0.691, 0.092)
Dy (0.309, 0.908, 0.744)
Dy (0.691, 0.092, 0.256)
Dy (0.744, 0.309, 0.908)
Dy (0.908, 0.744, 0.309)
Y (0.010, 0.358, 0.204)
Y (0.204, 0.010, 0.358)
Y (0.224, 0.564, 0.457)
Y (0.358, 0.204, 0.010)
Y (0.436, 0.543, 0.776)
Y (0.457, 0.224, 0.564)
Y (0.543, 0.776, 0.436)
Y (0.564, 0.457, 0.224)
Y (0.642, 0.796, 0.990)
Y (0.776, 0.436, 0.543)
Y (0.796, 0.990, 0.642)
Y (0.990, 0.642, 0.796)

Values from the calculation:
* excess energy over the best structure of this formula in the dataset: 2.447 eV per formula unit
* crystal system: trigonal
* ΔH_f (0 K): 14.6 kJ/mol of atoms

[2]
The following is a PBE-GGA calculation of a geometry-optimized YPa2Se3 structure, from Alexandria.

abc: 8.066 5.753 12.334
angles: 90.00 90.00 90.00
Fractional positions:
Y (0.129, 0.250, 0.084)
Y (0.371, 0.750, 0.584)
Y (0.629, 0.250, 0.416)
Y (0.871, 0.750, 0.916)
Pa (0.121, 0.250, 0.417)
Pa (0.124, 0.250, 0.750)
Pa (0.376, 0.750, 0.250)
Pa (0.379, 0.750, 0.917)
Pa (0.621, 0.250, 0.083)
Pa (0.624, 0.250, 0.750)
Pa (0.876, 0.750, 0.250)
Pa (0.879, 0.750, 0.583)
Se (0.123, 0.750, 0.081)
Se (0.125, 0.750, 0.753)
Se (0.129, 0.750, 0.417)
Se (0.371, 0.250, 0.917)
Se (0.375, 0.250, 0.253)
Se (0.377, 0.250, 0.581)
Se (0.623, 0.750, 0.419)
Se (0.625, 0.750, 0.747)
Se (0.629, 0.750, 0.083)
Se (0.871, 0.250, 0.583)
Se (0.875, 0.250, 0.247)
Se (0.877, 0.250, 0.919)

Values from the calculation:
* crystal system: orthorhombic
* total DFT energy (no corrections): -7.3683 eV/atom